20
Lattice="5.914 0.000 0.000 2.957 5.121 0.000 2.957 1.707 10.200" Properties=species:S:1:pos:R:3 comment="Ba2CoPbO6 (PBE+U, optimized geometry)" dos_ef_per_ev_fu=3.8 e_tot_ev_per_cell=-115.884 pbc="T T T"
O 7.241 4.181 6.218
O 7.462 2.520 9.033
O 5.914 1.881 6.218
O 7.241 2.648 3.982
O 4.586 4.181 6.218
O 5.914 4.947 3.982
O 4.365 4.308 1.167
O 4.586 2.648 3.982
O 5.914 5.202 9.033
O 7.462 4.308 1.167
O 5.914 1.626 1.167
O 4.365 2.520 9.033
Pb 5.914 3.414 7.867
Pb 5.914 3.414 2.333
Co 5.914 3.414 5.100
Co 0.000 0.000 0.000
Ba 2.957 1.707 1.168
Ba 8.870 5.121 9.032
Ba 8.870 5.121 4.014
Ba 2.957 1.707 6.186